Record 1
Entry from the Alexandria database: a geometry-optimized BaWO4 structure (GGA-PBEsol).

```
BaWO4
1.0
-0.6398 4.9650 2.5743
0.0647 -2.5843 5.0005
6.5593 -0.5198 -3.5220
Ba W O
2 2 8
Direct
0.5000 0.5000 0.0000
0.7500 0.2500 0.5000
0.0000 0.0000 0.0000
0.2500 0.7500 0.5000
0.9394 0.5420 0.3410
0.7920 0.1516 0.8410
0.0490 0.6894 0.8410
0.4016 0.7990 0.3410
0.8484 0.9510 0.1590
0.2010 0.0606 0.6590
0.4580 0.5984 0.6590
0.3106 0.2080 0.1590
```

Results
**Final energy**: -0.64391 Ry/atom
**Total moment**: 0.0000 μB/atom
**Relative energy among the computed polymorphs**: 0 meV/atom
**ΔE_f (raw)**: -251 kJ/mol of atoms
**Space-group type**: I4_1/a (88)

Record 2
Entry from the Alexandria database: a geometry-optimized HfTi3H structure (GGA-PBEsol).

```
HfTi3H
1.0
4.1645 0.0000 0.0000
0.0000 4.1645 0.0000
0.0000 0.0000 4.1645
H Hf Ti
1 1 3
Direct
0.0000 0.0000 0.0000
0.5000 0.5000 0.5000
0.0000 0.5000 0.0000
0.0000 0.0000 0.5000
0.5000 0.0000 0.0000
```

Results
**Final energy**: -0.57597 Ry/atom
**Total moment**: 0.0003 μB/atom
**Space-group type**: Pm-3m (221)

Record 3
Entry from the Alexandria database: a geometry-optimized YOsCl2 structure (GGA-PBEsol).

```
YOsCl2
1.0
4.3310 0.0000 0.0000
0.0000 4.3310 0.0000
-2.1655 -2.1655 4.0088
Y Os Cl
1 1 2
Direct
0.0000 0.0000 0.0000
0.5000 0.5000 0.0000
0.7500 0.2500 0.5000
0.2500 0.7500 0.5000
```

Results
**Final energy**: -0.41791 Ry/atom
**Total moment**: 0.6892 μB/atom
**Relative energy among the computed polymorphs**: 442 meV/atom
**ΔE_f (raw)**: 7 kJ/mol of atoms
**Space-group type**: I4/mmm (139)

Record 4
Entry from the Alexandria database: a geometry-optimized LaPd3S4 structure (GGA-PBEsol).

```
LaPd3S4
1.0
-2.1506 2.3013 -5.8834
0.2640 -6.1768 -2.5126
-6.3120 -1.0425 1.8995
La Pd S
2 6 8
Direct
0.5000 0.5000 0.5000
0.0000 0.0000 0.0000
0.7500 0.0000 0.5000
0.5000 0.7500 0.0000
0.0000 0.5000 0.7500
0.0000 0.5000 0.2500
0.2500 0.0000 0.5000
0.5000 0.2500 0.0000
0.7500 0.2500 0.2500
0.2500 0.2500 0.7500
0.2500 0.7500 0.2500
0.7500 0.7500 0.7500
0.2500 0.7500 0.7500
0.7500 0.7500 0.2500
0.2500 0.2500 0.2500
0.7500 0.2500 0.7500
```

Results
**Final energy**: -0.44977 Ry/atom
**Total moment**: 0.0000 μB/atom
**ΔE_f (raw)**: -99 kJ/mol of atoms
**Space-group type**: Pm-3n (223)

Record 5
Entry from the Alexandria database: a geometry-optimized ZrBrCl2 structure (GGA-PBEsol).

```
ZrBrCl2
1.0
-3.1887 0.4291 0.4708
1.2210 -5.7088 2.2432
1.2335 5.1495 3.6612
Zr Br Cl
1 1 2
Direct
0.4965 0.9931 0.3664
0.1675 0.3350 0.7007
0.0004 0.0008 0.0688
0.8356 0.6712 0.3641
```

Results
**Final energy**: -0.39063 Ry/atom
**Total moment**: 0.0001 μB/atom
**Relative energy among the computed polymorphs**: 0 meV/atom
**ΔE_f (raw)**: -152 kJ/mol of atoms
**Space-group type**: Cm (8)

Record 6
Entry from the Alexandria database: a geometry-optimized Cu2As structure (GGA-PBEsol).

```
Cu2As
1.0
2.7438 0.0000 0.0000
-1.3719 4.9528 -0.0224
0.0000 -2.4247 5.9228
As Cu
2 4
Direct
0.6727 0.3454 0.6658
0.3273 0.6546 0.3342
0.3668 0.7336 0.9775
0.0518 0.1036 0.2929
0.9482 0.8964 0.7071
0.6332 0.2664 0.0225
```

Results
**Final energy**: -0.33217 Ry/atom
**Total moment**: 0.0000 μB/atom
**Space-group type**: C2/m (12)
**DFT formation energy**: 0.072 eV per atom

Record 7
Entry from the Alexandria database: a geometry-optimized Ca2TcTe structure (GGA-PBEsol).

```
Ca2TcTe
1.0
4.0731 0.0000 0.0000
0.0000 4.0731 0.0000
0.0000 0.0000 6.3461
Ca Te Tc
2 1 1
Direct
0.0000 0.0000 0.9639
0.5000 0.5000 0.2932
0.5000 0.5000 0.7674
0.0000 0.0000 0.4755
```

Results
**Final energy**: -0.33569 Ry/atom
**Total moment**: 0.7532 μB/atom
**ΔE_f (raw)**: 19 kJ/mol of atoms
**Space-group type**: P4mm (99)

Record 8
Entry from the Alexandria database: a geometry-optimized BaBe3Ir structure (GGA-PBEsol).

```
BaBe3Ir
1.0
-1.0859 4.1466 1.2377
-0.7885 -1.4443 4.1470
4.2550 0.7906 1.0843
Be Ir Ba
3 1 1
Direct
0.0000 0.5000 0.0000
0.0000 0.0000 0.5000
0.5000 0.0000 0.0000
0.0000 0.0000 0.0000
0.5000 0.5000 0.5000
```

Results
**Final energy**: -0.35744 Ry/atom
**Total moment**: 0.0000 μB/atom
**Space-group type**: Pm-3m (221)
**DFT formation energy**: -0.069 eV per atom

Record 9
Entry from the Alexandria database: a geometry-optimized KPRhCl2 structure (GGA-PBEsol).

```
KPRhCl2
1.0
-3.2368 0.9848 -2.7638
-2.7799 -3.8150 1.8963
-1.9861 3.1637 3.4533
P K Rh Cl
1 1 1 2
Direct
0.5000 0.0000 0.0000
0.5000 0.5000 0.5000
0.0000 0.0000 0.0000
0.0000 0.0000 0.5000
0.0000 0.5000 0.0000
```

Results
**Final energy**: -0.32418 Ry/atom
**Total moment**: 0.0001 μB/atom
**ΔE_f (raw)**: -57 kJ/mol of atoms
**Space-group type**: P4/mmm (123)

Record 10
Entry from the Alexandria database: a geometry-optimized Y2InAu structure (GGA-PBEsol).

```
Y2InAu
1.0
5.0733 0.0000 0.0000
2.5367 4.3936 0.0000
2.5367 1.4645 4.1424
Au In Y
1 1 2
Direct
0.5000 0.5000 0.5000
0.2500 0.2500 0.2500
0.0000 0.0000 0.0000
0.7500 0.7500 0.7500
```

Results
**Final energy**: -0.39488 Ry/atom
**Total moment**: 0.0008 μB/atom
**Space-group type**: F-43m (216)
**DFT formation energy**: -0.235 eV per atom

Record 11
Entry from the Alexandria database: a geometry-optimized PWN2 structure (GGA-PBEsol).

```
PWN2
1.0
-0.2186 1.9317 3.2107
-0.5964 -1.8025 3.2377
2.7531 -0.2602 2.5378
P W N
1 1 2
Direct
0.0000 0.0000 0.0000
0.5000 0.5000 0.5000
0.2500 0.2500 0.2500
0.7500 0.7500 0.7500
```

Results
**Final energy**: -0.60941 Ry/atom
**Total moment**: 0.0000 μB/atom
**ΔE_f (raw)**: 84 kJ/mol of atoms
**Space-group type**: Fm-3m (225)

Record 12
Entry from the Alexandria database: a geometry-optimized Cd2TcCl structure (GGA-PBEsol).

```
Cd2TcCl
1.0
-4.2832 2.1165 -0.4952
-2.9757 -1.3918 -3.5041
-4.0107 -2.4152 1.0733
Cl Tc Cd
1 1 2
Direct
0.0000 0.0000 0.0000
0.5000 0.5000 0.5000
0.2500 0.2500 0.2500
0.7500 0.7500 0.7500
```

Results
**Final energy**: -0.22784 Ry/atom
**Total moment**: 0.5677 μB/atom
**Relative energy among the computed polymorphs**: 719 meV/atom
**ΔE_f (raw)**: 79 kJ/mol of atoms
**Space-group type**: Fm-3m (225)

Record 13
Entry from the Alexandria database: a geometry-optimized CsGa2BiW structure (GGA-PBEsol).

```
CsGa2BiW
1.0
-0.8227 -2.4519 4.3101
4.9465 -0.7119 0.5392
0.3893 4.8518 2.8343
Cs Ga Bi W
1 2 1 1
Direct
0.0000 0.0000 0.5000
0.0000 0.5000 0.0000
0.5000 0.0000 0.0000
0.5000 0.5000 0.5000
0.0000 0.0000 0.0000
```

Results
**Final energy**: -0.29793 Ry/atom
**Total moment**: 0.0584 μB/atom
**Space-group type**: P4/mmm (123)
**DFT formation energy**: 1.089 eV per atom

Record 14
Entry from the Alexandria database: a geometry-optimized Ni2Sb structure (GGA-PBEsol).

```
Ni2Sb
1.0
-1.6691 2.4305 -1.4859
-1.4850 -2.2120 -1.9500
-1.1999 -0.4719 4.2441
Ni Sb
2 1
Direct
0.3303 0.3303 0.6605
0.6697 0.6697 0.3395
0.0000 0.0000 0.0000
```

Results
**Final energy**: -0.42168 Ry/atom
**Total moment**: 0.0001 μB/atom
**ΔE_f (raw)**: -11 kJ/mol of atoms
**Space-group type**: I4/mmm (139)

Record 15
Entry from the Alexandria database: a geometry-optimized LaGa2Ru2 structure (GGA-PBEsol).

```
LaGa2Ru2
1.0
-3.4251 0.7475 -2.4566
-0.5149 -4.2121 -0.5637
-0.9955 1.5490 5.5891
Ru Ga La
2 2 1
Direct
0.3842 0.3842 0.7684
0.6158 0.6158 0.2316
0.2500 0.7500 0.5000
0.7500 0.2500 0.5000
0.0000 0.0000 0.0000
```

Results
**Final energy**: -0.50225 Ry/atom
**Total moment**: 0.0000 μB/atom
**Space-group type**: I4/mmm (139)
**DFT formation energy**: -0.359 eV per atom

Record 16
Entry from the Alexandria database: a geometry-optimized TbTlP2Se6 structure (GGA-PBEsol).

```
TbTlP2Se6
1.0
6.6965 0.0000 0.0168
0.0000 7.4657 0.0000
-0.1655 0.0000 10.0618
Tb Tl P Se
2 2 4 12
Direct
0.7127 0.5007 0.5017
0.2873 0.0007 0.4983
0.1819 0.2205 0.9911
0.8181 0.7205 0.0089
0.6870 0.2281 0.8000
0.3130 0.7281 0.2000
0.8128 0.0065 0.6772
0.1872 0.5065 0.3228
0.9038 0.4419 0.7694
0.0962 0.9419 0.2306
0.9044 0.4088 0.2394
0.0956 0.9088 0.7606
0.4232 0.3112 0.6744
0.5768 0.8112 0.3256
0.6481 0.1298 0.9982
0.3519 0.6298 0.0018
0.8701 0.1345 0.4801
0.1299 0.6345 0.5199
0.5700 0.8043 0.6740
0.4300 0.3043 0.3260
```

Results
**Final energy**: -0.35676 Ry/atom
**Total moment**: 0.0000 μB/atom
**ΔE_f (raw)**: -60 kJ/mol of atoms
**Space-group type**: P2_1 (4)

Record 17
Entry from the Alexandria database: a geometry-optimized B2Pt2Pb structure (GGA-PBEsol).

```
B2Pt2Pb
1.0
3.2100 0.0000 0.0000
0.0000 3.2100 0.0000
-1.6050 -1.6050 7.1789
Pb B Pt
1 2 2
Direct
0.0000 0.0000 0.0000
0.2500 0.7500 0.5000
0.7500 0.2500 0.5000
0.3460 0.3460 0.6919
0.6540 0.6540 0.3081
```

Results
**Final energy**: -0.47622 Ry/atom
**Total moment**: 0.0000 μB/atom
**Space-group type**: I4/mmm (139)
**DFT formation energy**: -0.088 eV per atom

Record 18
Entry from the Alexandria database: a geometry-optimized ScSiOs2 structure (GGA-PBEsol).

```
ScSiOs2
1.0
-2.6123 -0.7342 -1.0249
-0.2313 -2.7682 2.5725
-1.1667 3.7883 3.9716
Os Sc Si
2 1 1
Direct
0.8687 0.0000 0.7177
0.1313 0.0000 0.2823
0.5000 0.5000 0.0000
0.5000 0.5000 0.5000
```

Results
**Final energy**: -0.69809 Ry/atom
**Total moment**: 0.0000 μB/atom
**ΔE_f (raw)**: -29 kJ/mol of atoms
**Space-group type**: P2/m (10)

Record 19
Entry from the Alexandria database: a geometry-optimized KAlCo2 structure (GGA-PBEsol).

```
KAlCo2
1.0
2.6429 0.0000 0.0000
0.0000 4.8435 0.0763
0.0000 -0.0957 4.8432
K Co Al
1 2 1
Direct
0.5000 0.0000 0.0000
0.0000 0.5000 0.0000
0.0000 0.0000 0.5000
0.5000 0.5000 0.5000
```

Results
**Final energy**: -0.30984 Ry/atom
**Total moment**: 0.6608 μB/atom
**Space-group type**: Cmmm (65)
**DFT formation energy**: 0.959 eV per atom

Record 20
Entry from the Alexandria database: a geometry-optimized CaMnIrPt2 structure (GGA-PBEsol).

```
CaMnIrPt2
1.0
-3.0714 3.4993 0.1895
-2.0946 -2.0430 3.7755
2.9183 2.4033 2.9194
Mn Ca Ir Pt
1 1 1 2
Direct
0.5000 0.5000 0.5000
0.0000 0.0000 0.0000
0.5000 0.0000 0.0000
0.0000 0.0000 0.5000
0.0000 0.5000 0.0000
```

Results
**Final energy**: -0.39167 Ry/atom
**Total moment**: 0.9620 μB/atom
**Space-group type**: P4/mmm (123)
**DFT formation energy**: 1.800 eV per atom